#w
BeAsAu2 | GGA-PBE | optimized geometry

Calculated values
SG: No. 119
calculated density: 12.094 g/cm³

Lattice parameters (Å, degrees): 5.0369 5.0369 5.0369 133.73 133.73 67.52
Closest atoms and distances in Å follow each position.
Sites, in units of the cell vectors:
Au: 0.2500 0.7500 0.5000  4 As 2.80, 4 Au 2.88, 4 Be 2.88
Au: 0.0000 0.0000 0.0000  4 Be 2.80, 4 Au 2.88, 4 As 2.88
Be: 0.5000 0.5000 0.0000  8 Au 2.80-2.88, 4 As 2.88
As: 0.7500 0.2500 0.5000  8 Au 2.80-2.88, 4 Be 2.88

---

#x
BeAsAu2 | GGA-PBE | optimized geometry

Calculated values
SG: No. 160
calculated density: 12.258 g/cm³

Lattice parameters (Å, degrees): 8.5484 8.5484 8.5484 20.13 20.13 20.13
Closest atoms and distances in Å follow each position.
Sites, in units of the cell vectors:
Au: 0.2351 0.2351 0.2351  3 Be 2.43
Au: 0.9995 0.9994 0.9994  9 Au 2.99-3.00, 3 As 3.02
As: 0.7649 0.7649 0.7649  3 Be 2.45
Be: 0.5006 0.5006 0.5006  3 Au 2.43, 3 As 2.45

---

#y
BeAsAu2 | GGA-PBE | optimized geometry

Calculated values
SG: No. 139
calculated density: 12.059 g/cm³

Lattice parameters (Å, degrees): 4.9851 4.9851 4.9851 132.63 132.63 69.23
Closest atoms and distances in Å follow each position.
Sites, in units of the cell vectors:
As: 0.7500 0.2500 0.5000  4 Be 2.83, 8 Au 2.87
Be: 0.2500 0.7500 0.5000  4 As 2.83, 8 Au 2.87
Au: 0.5000 0.5000 0.0000  4 Au 2.83, 4 As 2.87, 4 Be 2.87
Au: 0.0000 0.0000 0.0000  4 Au 2.83, 4 As 2.87, 4 Be 2.87

---

#z
BeAsAu2 | GGA-PBE | optimized geometry

Calculated values
SG: No. 8
calculated density: 11.668 g/cm³

Lattice parameters (Å, degrees): 4.5853 4.5853 5.9642 66.77 66.77 36.60
Closest atoms and distances in Å follow each position.
Sites, in units of the cell vectors:
Be: 0.4771 0.4771 0.3631  5 Au 2.39-2.46, 2 As 2.45
Au: 0.1870 0.1870 0.3934  3 Be 2.39-2.46
Au: 0.0034 0.0034 0.0220  2 Be 2.42
As: 0.8325 0.8325 0.7215  2 Be 2.45

---

Q: Which of them is the most stable? A: #z.

---

#w
BeAsAu2 | GGA-PBE | optimized geometry

Calculated values
SG: No. 123
calculated density: 12.022 g/cm³

Lattice parameters (Å, degrees): 4.0759 4.0779 3.9714 90.00 90.00 90.00
Closest atoms and distances in Å follow each position.
Sites, in units of the cell vectors:
Be: 0.5000 0.0000 0.5000  8 Au 2.85, 4 As 2.88
Au: 0.5000 0.5000 0.0000  4 As 2.85, 4 Be 2.85, 4 Au 2.88
Au: 0.0000 0.0000 0.0000  4 Be 2.85, 4 As 2.85, 4 Au 2.88
As: 0.0000 0.5000 0.5000  8 Au 2.85, 4 Be 2.88

---

#x
BeAsAu2 | GGA-PBE | optimized geometry

Calculated values
SG: No. 65
calculated density: 11.962 g/cm³

Lattice parameters (Å, degrees): 4.2595 4.2595 3.6915 90.00 90.00 97.91
Closest atoms and distances in Å follow each position.
Sites, in units of the cell vectors:
Be: 0.5000 0.0000 0.5000  2 As 2.80, 8 Au 2.82
Au: 0.5000 0.5000 0.0000  2 Au 2.80, 4 Be 2.82, 4 As 2.82
Au: 0.0000 0.0000 0.0000  2 Au 2.80, 4 As 2.82, 4 Be 2.82
As: 0.0000 0.5000 0.5000  2 Be 2.80, 8 Au 2.82

---

#y
BeAsAu2 | GGA-PBE | optimized geometry

Calculated values
SG: No. 123
calculated density: 12.203 g/cm³

Lattice parameters (Å, degrees): 2.8461 2.8461 8.0276 90.00 90.00 90.02
Closest atoms and distances in Å follow each position.
Sites, in units of the cell vectors:
Be: 0.5000 0.5000 0.2500  8 Au 2.54
As: 0.5000 0.5000 0.7500  4 As 2.85, 8 Au 3.19
Au: 0.0000 0.0000 0.4423  4 Be 2.54
Au: 0.0000 0.0000 0.0577  4 Be 2.54

---

#z
BeAsAu2 | GGA-PBE | optimized geometry

Calculated values
SG: No. 225
calculated density: 12.002 g/cm³

Lattice parameters (Å, degrees): 4.5388 4.5388 4.5388 60.00 60.00 60.00
Closest atoms and distances in Å follow each position.
Sites, in units of the cell vectors:
Au: 0.7500 0.7500 0.7500  4 As 2.78, 4 Be 2.78
Au: 0.2500 0.2500 0.2500  4 As 2.78, 4 Be 2.78
As: 0.5000 0.5000 0.5000  8 Au 2.78
Be: 0.0000 0.0000 0.0000  8 Au 2.78

---

Q: Which of them is the most stable? A: #y.

---

#w
BeAsAu2 | GGA-PBE | optimized geometry

Calculated values
SG: No. 44
calculated density: 11.706 g/cm³

Lattice parameters (Å, degrees): 6.3698 6.3698 6.3698 154.53 142.29 46.06
Closest atoms and distances in Å follow each position.
Sites, in units of the cell vectors:
Au: 0.6773 0.1773 0.5000  2 Be 2.44
Au: 0.9920 0.9920 0.0000  4 Be 2.50
Be: 0.5071 0.5071 0.0000  6 Au 2.44-2.50, 2 As 2.57
As: 0.3235 0.8235 0.5000  2 Be 2.57, 2 As 2.81, 2 Au 2.85

---

#x
BeAsAu2 | GGA-PBE | optimized geometry

Calculated values
SG: No. 25
calculated density: 11.844 g/cm³

Lattice parameters (Å, degrees): 3.0009 3.6608 6.0987 90.00 90.00 90.00
Closest atoms and distances in Å follow each position.
Sites, in units of the cell vectors:
Au: 0.0000 0.0000 0.0107  1 Be 2.50
Au: 0.5000 0.5000 0.3166  4 Be 2.45, 1 As 2.66
Be: 0.0000 0.0000 0.4207  5 Au 2.45-2.50
As: 0.5000 0.5000 0.7520  5 Au 2.66-2.84

---

#y
BeAsAu2 | GGA-PBE | optimized geometry

Calculated values
SG: No. 216
calculated density: 11.719 g/cm³

Lattice parameters (Å, degrees): 4.5750 4.5750 4.5750 60.00 60.00 60.00
Closest atoms and distances in Å follow each position.
Sites, in units of the cell vectors:
Au: 0.0000 0.0000 0.0000  4 Be 2.80, 4 Au 2.80
Au: 0.2500 0.2500 0.2500  4 As 2.80, 4 Au 2.80
As: 0.5000 0.5000 0.5000  4 Au 2.80, 4 Be 2.80
Be: 0.7500 0.7500 0.7500  4 As 2.80, 4 Au 2.80

---

Q: Which of them is the most stable? A: #w.

---

#w
Be2AsAu2 | GGA-PBE | optimized geometry

Calculated values
SG: No. 127
calculated density: 10.948 g/cm³

Lattice parameters (Å, degrees): 7.2831 7.2831 2.7845 90.00 90.00 90.00
Closest atoms and distances in Å follow each position.
Sites, in units of the cell vectors:
Be: 0.6483 0.8517 0.5000  6 Au 2.53-2.56, 2 Be 2.78
Be: 0.3517 0.1483 0.5000  6 Au 2.53-2.56, 2 Be 2.78
Be: 0.8517 0.3517 0.5000  6 Au 2.53-2.56, 2 Be 2.78
Be: 0.1483 0.6483 0.5000  6 Au 2.53-2.56, 2 Be 2.78
As: 0.5000 0.5000 0.0000  2 As 2.78, 4 Au 2.79, 8 Be 3.11
As: 0.0000 0.0000 0.0000  2 As 2.78, 4 Au 2.79, 8 Be 3.11
Au: 0.8535 0.6465 0.0000  6 Be 2.53-2.56, 2 Au 2.78, 2 As 2.79
Au: 0.6465 0.1465 0.0000  6 Be 2.53-2.56, 2 Au 2.78, 2 As 2.79
Au: 0.1465 0.3535 0.0000  6 Be 2.53-2.56, 2 Au 2.78, 2 As 2.79
Au: 0.3535 0.8535 0.0000  6 Be 2.53-2.56, 2 Au 2.78, 2 As 2.79

---

#x
Be2AsAu2 | GGA-PBE | optimized geometry

Calculated values
SG: No. 127
calculated density: 10.978 g/cm³

Lattice parameters (Å, degrees): 7.1038 7.1038 2.9188 90.00 90.00 90.00
Closest atoms and distances in Å follow each position.
Sites, in units of the cell vectors:
As: 0.5000 0.5000 0.0000  4 Be 2.73, 2 As 2.92
As: 0.0000 0.0000 0.0000  4 Be 2.73, 2 As 2.92
Au: 0.3534 0.1466 0.5000  6 Be 2.52-2.57
Au: 0.8534 0.3534 0.5000  6 Be 2.52-2.57
Au: 0.1466 0.6466 0.5000  6 Be 2.52-2.57
Au: 0.6466 0.8534 0.5000  6 Be 2.52-2.57
Be: 0.1429 0.3571 0.0000  6 Au 2.52-2.57, 2 As 2.73
Be: 0.8571 0.6429 0.0000  6 Au 2.52-2.57, 2 As 2.73
Be: 0.6429 0.1429 0.0000  6 Au 2.52-2.57, 2 As 2.73
Be: 0.3571 0.8571 0.0000  6 Au 2.52-2.57, 2 As 2.73

---

Q: Which of them is the most stable? A: #w.

---

#w
Be3AsAu | GGA-PBE | optimized geometry

Calculated values
SG: No. 221
calculated density: 6.444 g/cm³

Lattice parameters (Å, degrees): 4.2548 4.2548 4.2548 90.00 90.00 90.00
Closest atoms and distances in Å follow each position.
Sites, in units of the cell vectors:
Au: 0.5000 0.5000 0.5000  12 Be 3.01
Be: 0.0000 0.5000 0.0000  2 As 2.13
Be: 0.0000 0.0000 0.5000  2 As 2.13
Be: 0.5000 0.0000 0.0000  2 As 2.13
As: 0.0000 0.0000 0.0000  6 Be 2.13

---

#x
Be3AsAu | GGA-PBE | optimized geometry

Calculated values
SG: No. 221
calculated density: 5.989 g/cm³

Lattice parameters (Å, degrees): 4.3601 4.3601 4.3601 90.00 90.00 90.00
Closest atoms and distances in Å follow each position.
Sites, in units of the cell vectors:
Be: 0.0000 0.0000 0.5000  2 Au 2.18
Be: 0.0000 0.5000 0.0000  2 Au 2.18
Be: 0.5000 0.0000 0.0000  2 Au 2.18
Au: 0.0000 0.0000 0.0000  6 Be 2.18
As: 0.5000 0.5000 0.5000  12 Be 3.08

---

Q: Which of them is the most stable? A: #x.

---

#w
BeAs2AuSe | GGA-PBE | optimized geometry

Calculated values
SG: No. 123
calculated density: 7.704 g/cm³

Lattice parameters (Å, degrees): 4.4862 4.4862 4.6567 90.00 90.00 90.00
Closest atoms and distances in Å follow each position.
Sites, in units of the cell vectors:
As: 0.0000 0.5000 0.0000  2 Be 2.24
As: 0.5000 0.0000 0.0000  2 Be 2.24
Be: 0.0000 0.0000 0.0000  4 As 2.24, 2 Se 2.33
Au: 0.5000 0.5000 0.5000  4 Se 3.17, 8 As 3.23
Se: 0.0000 0.0000 0.5000  2 Be 2.33

---

#x
BeAs2AuSe | GGA-PBE | optimized geometry

Calculated values
SG: No. 123
calculated density: 5.583 g/cm³

Lattice parameters (Å, degrees): 4.9987 4.9987 5.1752 90.00 90.00 90.00
Closest atoms and distances in Å follow each position.
Sites, in units of the cell vectors:
Be: 0.5000 0.5000 0.5000  4 Se 3.53, 8 As 3.60
Se: 0.0000 0.0000 0.5000  2 Au 2.59
As: 0.5000 0.0000 0.0000  2 Au 2.50
As: 0.0000 0.5000 0.0000  2 Au 2.50
Au: 0.0000 0.0000 0.0000  4 As 2.50, 2 Se 2.59

---

Q: Which of them is the most stable? A: #w.

---

#w
Bi3AsAu | GGA-PBE | optimized geometry

Calculated values
SG: No. 221
calculated density: 8.859 g/cm³

Lattice parameters (Å, degrees): 5.5230 5.5230 5.5230 90.00 90.00 90.00
Closest atoms and distances in Å follow each position.
Sites, in units of the cell vectors:
Au: 0.5000 0.5000 0.5000  12 Bi 3.91
As: 0.0000 0.0000 0.0000  6 Bi 2.76
Bi: 0.0000 0.0000 0.5000  2 As 2.76
Bi: 0.0000 0.5000 0.0000  2 As 2.76
Bi: 0.5000 0.0000 0.0000  2 As 2.76

---

#x
Bi3AsAu | GGA-PBE | optimized geometry

Calculated values
SG: No. 221
calculated density: 8.869 g/cm³

Lattice parameters (Å, degrees): 5.5211 5.5211 5.5211 90.00 90.00 90.00
Closest atoms and distances in Å follow each position.
Sites, in units of the cell vectors:
Bi: 0.0000 0.5000 0.0000  2 Au 2.76
Bi: 0.0000 0.0000 0.5000  2 Au 2.76
Bi: 0.5000 0.0000 0.0000  2 Au 2.76
As: 0.5000 0.5000 0.5000  12 Bi 3.90
Au: 0.0000 0.0000 0.0000  6 Bi 2.76

---

Q: Which of them is the most stable? A: #x.

---

#w
Bi2As2Au | GGA-PBE | optimized geometry

Calculated values
SG: No. 139
calculated density: 10.131 g/cm³

Lattice parameters (Å, degrees): 3.7707 3.7707 9.2110 78.19 78.19 90.00
Closest atoms and distances in Å follow each position.
Sites, in units of the cell vectors:
Bi: 0.4056 0.4056 0.1888  4 Au 3.14, 4 As 3.33, 1 Bi 3.33
Bi: 0.5944 0.5944 0.8112  4 Au 3.14, 4 As 3.33, 1 Bi 3.33
As: 0.2500 0.7500 0.5000  4 As 2.67
As: 0.7500 0.2500 0.5000  4 As 2.67
Au: 0.0000 0.0000 0.0000  8 Bi 3.14

---

#x
Bi2As2Au | GGA-PBE | optimized geometry

Calculated values
SG: No. 127
calculated density: 10.051 g/cm³

Lattice parameters (Å, degrees): 7.8544 7.8544 4.0963 90.00 90.00 90.00
Closest atoms and distances in Å follow each position.
Sites, in units of the cell vectors:
As: 0.6653 0.1653 0.0000  2 Bi 2.84, 2 Au 2.93
As: 0.1653 0.3347 0.0000  2 Bi 2.84, 2 Au 2.93
As: 0.8347 0.6653 0.0000  2 Bi 2.84, 2 Au 2.93
As: 0.3347 0.8347 0.0000  2 Bi 2.84, 2 Au 2.93
Bi: 0.8422 0.3422 0.5000  2 As 2.84
Bi: 0.3422 0.1578 0.5000  2 As 2.84
Bi: 0.1578 0.6578 0.5000  2 As 2.84
Bi: 0.6578 0.8422 0.5000  2 As 2.84
Au: 0.0000 0.0000 0.0000  4 As 2.93
Au: 0.5000 0.5000 0.0000  4 As 2.93

---

#y
Bi2As2Au | GGA-PBE | optimized geometry

Calculated values
SG: No. 139
calculated density: 9.500 g/cm³

Lattice parameters (Å, degrees): 5.8495 5.8495 5.6896 59.07 59.07 90.00
Closest atoms and distances in Å follow each position.
Sites, in units of the cell vectors:
Bi: 0.7500 0.2500 0.5000  4 As 2.99
Bi: 0.2500 0.7500 0.5000  4 As 2.99
Au: 0.0000 0.0000 0.0000  2 As 2.56
As: 0.6729 0.6729 0.6541  1 Au 2.56, 1 As 2.70
As: 0.3271 0.3271 0.3459  1 Au 2.56, 1 As 2.70

---

Q: Which of them is the most stable? A: #y.

---

#w
BiAs2Au2 | GGA-PBE | optimized geometry

Calculated values
SG: No. 127
calculated density: 11.691 g/cm³

Lattice parameters (Å, degrees): 7.8179 7.8179 3.4987 90.00 90.00 90.00
Closest atoms and distances in Å follow each position.
Sites, in units of the cell vectors:
As: 0.3280 0.1720 0.5000  6 Au 2.81-2.95
As: 0.8280 0.3280 0.5000  6 Au 2.81-2.95
As: 0.1720 0.6720 0.5000  6 Au 2.81-2.95
As: 0.6720 0.8280 0.5000  6 Au 2.81-2.95
Bi: 0.0000 0.0000 0.0000  4 Au 3.07, 8 As 3.38
Bi: 0.5000 0.5000 0.0000  4 Au 3.07, 8 As 3.38
Au: 0.6295 0.1295 0.0000  6 As 2.81-2.95, 1 Au 2.86, 2 Bi 3.07
Au: 0.1295 0.3705 0.0000  6 As 2.81-2.95, 1 Au 2.86, 2 Bi 3.07
Au: 0.3705 0.8705 0.0000  6 As 2.81-2.95, 1 Au 2.86, 2 Bi 3.07
Au: 0.8705 0.6295 0.0000  6 As 2.81-2.95, 1 Au 2.86, 2 Bi 3.07

---

#x
BiAs2Au2 | GGA-PBE | optimized geometry

Calculated values
SG: No. 139
calculated density: 11.242 g/cm³

Lattice parameters (Å, degrees): 4.2099 4.2099 6.9442 72.35 72.35 90.00
Closest atoms and distances in Å follow each position.
Sites, in units of the cell vectors:
As: 0.7500 0.2500 0.5000  4 Au 2.75, 4 As 2.98
As: 0.2500 0.7500 0.5000  4 Au 2.75, 4 As 2.98
Bi: 0.0000 0.0000 0.0000  8 Au 3.27
Au: 0.6084 0.6084 0.7831  1 Au 2.72, 4 As 2.75
Au: 0.3916 0.3916 0.2169  1 Au 2.72, 4 As 2.75

---

Q: Which of them is the most stable? A: #x.

---

#w
AsAu2Br | GGA-PBE | optimized geometry

Calculated values
SG: No. 47
calculated density: 11.175 g/cm³

Lattice parameters (Å, degrees): 3.1285 4.8701 5.3520 90.00 90.00 90.00
Closest atoms and distances in Å follow each position.
Sites, in units of the cell vectors:
Au: 0.5000 0.5000 0.0000  6 Au 2.89-3.13, 4 As 3.10
Au: 0.0000 0.0000 0.0000  6 Au 2.89-3.13, 4 Br 3.10
As: 0.0000 0.5000 0.5000  4 Br 2.89, 4 Au 3.10, 2 As 3.13
Br: 0.5000 0.0000 0.5000  4 As 2.89, 4 Au 3.10, 2 Br 3.13

---

#x
AsAu2Br | GGA-PBE | optimized geometry

Calculated values
SG: No. 65
calculated density: 10.117 g/cm³

Lattice parameters (Å, degrees): 3.7480 5.0983 5.0952 67.69 90.00 90.00
Closest atoms and distances in Å follow each position.
Sites, in units of the cell vectors:
Au: 0.0000 0.9697 0.9696  2 As 2.64, 2 Au 2.88
Au: 0.0000 0.5303 0.5304  2 As 2.64, 2 Au 2.88
As: 0.5000 0.7500 0.7500  4 Au 2.64, 2 Br 2.84
Br: 0.5000 0.2500 0.2500  2 As 2.84, 4 Au 3.02

---

Q: Which of them is the most stable? A: #x.

---

#w
AsAu2Br | GGA-PBE | optimized geometry

Calculated values
SG: No. 65
calculated density: 9.735 g/cm³

Lattice parameters (Å, degrees): 3.7039 3.7039 8.0065 90.00 90.00 121.55
Closest atoms and distances in Å follow each position.
Sites, in units of the cell vectors:
Au: 0.0000 0.0000 0.5181  2 As 2.59, 2 Br 2.81
Au: 0.0000 0.0000 0.9819  2 As 2.59, 2 Br 2.81
Br: 0.5000 0.5000 0.2500  4 Au 2.81
As: 0.5000 0.5000 0.7500  4 Au 2.59

---

#x
AsAu2Br | GGA-PBE | optimized geometry

Calculated values
SG: No. 122
calculated density: 8.180 g/cm³

Lattice parameters (Å, degrees): 6.4968 6.4968 6.9974 62.34 62.34 90.00
Closest atoms and distances in Å follow each position.
Sites, in units of the cell vectors:
Au: 0.5773 0.1250 0.2500  2 As 2.47
Au: 0.8750 0.8273 0.7500  2 As 2.47
Au: 0.3750 0.4227 0.7500  2 As 2.47
Au: 0.1727 0.6250 0.2500  2 As 2.47
As: 0.2500 0.7500 0.5000  4 Au 2.47
As: 0.5000 0.5000 0.0000  4 Au 2.47
Br: 0.7500 0.2500 0.5000  4 Au 2.85
Br: 0.0000 0.0000 0.0000  4 Au 2.85

---

Q: Which of them is the most stable? A: #x.